Record 1
This record from the Alexandria database describes Pm3Dy5Y after structural relaxation. The functional is PBE.

total moment: 0.00 μB per cell
DFT formation energy: 2.41 eV/f.u.

Cell lengths 9.9169, 9.9169, 9.9169 Å; angles 127.77, 127.77, 77.00 degrees
Last column: nearest neighbours and their distance in Å.
Element x y z (fractional)
1 Pm 0.1166 0.6166 0.7332  1 Pm 2.88, 2 Dy 3.02
2 Pm 0.2500 0.2500 0.0000  10 Dy 3.58-3.88
3 Pm 0.3834 0.1166 0.5000  1 Pm 2.88, 2 Dy 3.02
4 Pm 0.6166 0.8834 0.5000  1 Pm 2.88, 2 Dy 3.02
5 Pm 0.7500 0.7500 0.0000  10 Dy 3.58-3.88
6 Pm 0.8834 0.3834 0.2668  1 Pm 2.88, 2 Dy 3.02
7 Dy 0.0000 0.0000 0.0000  6 Pm 3.50-3.88, 8 Dy 3.78
8 Dy 0.0730 0.1519 0.5000  1 Pm 3.02, 1 Y 3.13
9 Dy 0.1519 0.6519 0.0789  1 Pm 3.02, 1 Y 3.13
10 Dy 0.3481 0.4270 0.5000  1 Pm 3.02, 1 Y 3.13
11 Dy 0.4270 0.9270 0.0789  1 Pm 3.02, 1 Y 3.13
12 Dy 0.5000 0.5000 0.0000  6 Pm 3.50-3.88, 8 Dy 3.78
13 Dy 0.5730 0.0730 0.9211  1 Pm 3.02, 1 Y 3.13
14 Dy 0.6519 0.5730 0.5000  1 Pm 3.02, 1 Y 3.13
15 Dy 0.8481 0.3481 0.9211  1 Pm 3.02, 1 Y 3.13
16 Dy 0.9270 0.8481 0.5000  1 Pm 3.02, 1 Y 3.13
17 Y 0.2500 0.7500 0.5000  4 Dy 3.13
18 Y 0.7500 0.2500 0.5000  4 Dy 3.13

***

Record 2
This record from the Alexandria database describes CaTlPdSeF after structural relaxation. The functional is PBE.

total moment: 0.00 μB per cell
ΔE_f (raw): -1384 meV/atom

Cell lengths 13.7317, 4.0514, 4.1670 Å; angles 90.00, 90.61, 90.00 degrees
Last column: nearest neighbours and their distance in Å.
Element x y z (fractional)
1 Ca 0.0000 0.0000 0.0000  1 F 2.12
2 Ca 0.5000 0.5000 0.0000  1 F 2.12
3 Tl 0.2489 0.5000 0.4973  4 Pd 3.09-3.15, 4 F 3.13-3.24, 2 Se 3.39
4 Tl 0.7489 0.0000 0.4973  4 Pd 3.09-3.15, 4 F 3.13-3.24, 2 Se 3.39
5 Pd 0.3308 0.0000 0.9891  1 F 2.42, 2 Se 2.60-2.63
6 Pd 0.8308 0.5000 0.9891  1 F 2.42, 2 Se 2.60-2.63
7 Se 0.4464 0.0000 0.4978  2 Pd 2.60-2.63
8 Se 0.9464 0.5000 0.4978  2 Pd 2.60-2.63
9 F 0.1546 0.0000 0.0138  1 Ca 2.12
10 F 0.6546 0.5000 0.0138  1 Ca 2.12

***

Record 3
This record from the Alexandria database describes Li2InHPd after structural relaxation. The functional is PBE.

total moment: 0.00 μB per cell

Cell lengths 3.8816, 3.8816, 4.5815 Å; angles 90.00, 90.00, 90.00 degrees
Last column: nearest neighbours and their distance in Å.
Element x y z (fractional)
1 Li 0.0000 0.5000 0.0000  2 H 1.94
2 Li 0.5000 0.0000 0.0000  2 H 1.94
3 In 0.0000 0.0000 0.5000  2 H 2.29
4 H 0.0000 0.0000 0.0000  4 Li 1.94
5 Pd 0.5000 0.5000 0.5000  4 In 2.74, 8 Li 3.00

***

Record 4
This record from the Alexandria database describes KScSi2 after structural relaxation. The functional is PBE.

total moment: 0.00 μB per cell
ΔE_f (raw): -67 meV/atom

Cell lengths 3.0452, 3.0452, 9.1329 Å; angles 90.00, 90.00, 90.00 degrees
Last column: nearest neighbours and their distance in Å.
Element x y z (fractional)
1 K 0.0000 0.0000 0.0000  4 K 3.05, 8 Si 3.40
2 Sc 0.0000 0.0000 0.5000  8 Si 2.89, 4 Sc 3.05
3 Si 0.5000 0.5000 0.2886  4 Sc 2.89, 4 Si 3.05
4 Si 0.5000 0.5000 0.7114  4 Sc 2.89, 4 Si 3.05

***

Number 1: energy above the lowest structure with this stoichiometry 105 meV/atom. Number 2: energy above the lowest structure with this stoichiometry 97 meV/atom. Number 3: energy above the lowest structure with this stoichiometry 93 meV/atom. Number 4: energy above the lowest structure with this stoichiometry 182 meV/atom.